1.
VASP calculation (PBE-GGA) on an optimized crystal structure of AlCuIrOs.

Calculated values
Raw total energy, eV/atom: -6.838
Space-group type: F-43m (216)
Magnetic moment, μB per formula unit: 0.3

Cell: 4.292 4.292 4.292 Å, 60.00 60.00 60.00°
Fractional coordinates of all 4 atoms:
Al: 0.000 0.000 0.000
Cu: 0.250 0.250 0.250
Ir: 0.500 0.500 0.500
Os: 0.750 0.750 0.750



2.
VASP calculation (PBE-GGA) on an optimized crystal structure of Zr2Al2Cu2IrPd.

Calculated values
Raw total energy, eV/atom: -6.364
Space-group type: P-4m2 (115)
Magnetic moment, μB per formula unit: 0.0

Cell: 4.485 4.485 6.350 Å, 90.00 90.00 90.00°
Fractional coordinates of all 8 atoms:
Zr: 0.000 0.500 0.246
Zr: 0.500 0.000 0.754
Al: 0.000 0.500 0.751
Al: 0.500 0.000 0.249
Cu: 0.000 0.000 0.000
Cu: 0.500 0.500 0.500
Ir: 0.500 0.500 0.000
Pd: 0.000 0.000 0.500



3.
VASP calculation (PBE-GGA) on an optimized crystal structure of PrAl5CuIr.

Calculated values
Raw total energy, eV/atom: -5.085
Space-group type: Imm2 (44)
Magnetic moment, μB per formula unit: 0.0

Cell: 6.433 6.433 6.433 Å, 143.21 111.83 80.06°
Fractional coordinates of all 8 atoms:
Pr: 0.000 0.000 0.000
Al: 0.163 0.351 0.812
Al: 0.467 0.658 0.809
Al: 0.514 0.014 0.500
Al: 0.539 0.351 0.188
Al: 0.849 0.658 0.191
Cu: 0.755 0.255 0.500
Ir: 0.271 0.771 0.500



4.
VASP calculation (PBE-GGA) on an optimized crystal structure of AlCuReIr.

Calculated values
Raw total energy, eV/atom: -7.172
Space-group type: F-43m (216)
Magnetic moment, μB per formula unit: 0.0

Cell: 4.297 4.297 4.297 Å, 60.00 60.00 60.00°
Fractional coordinates of all 4 atoms:
Al: 0.000 0.000 0.000
Cu: 0.250 0.250 0.250
Re: 0.500 0.500 0.500
Ir: 0.750 0.750 0.750



5.
VASP calculation (PBE-GGA) on an optimized crystal structure of Sc3Al3CuIr2.

Calculated values
Raw total energy, eV/atom: -6.498
Space-group type: P-62m (189)
Magnetic moment, μB per formula unit: 0.0

Cell: 6.956 6.956 3.651 Å, 90.00 90.00 120.00°
Fractional coordinates of all 9 atoms:
Sc: 0.000 0.411 0.000
Sc: 0.411 0.000 0.000
Sc: 0.589 0.589 0.000
Al: 0.000 0.750 0.500
Al: 0.250 0.250 0.500
Al: 0.750 0.000 0.500
Cu: 0.000 0.000 0.000
Ir: 0.333 0.667 0.500
Ir: 0.667 0.333 0.500



6.
VASP calculation (PBE-GGA) on an optimized crystal structure of Sc2Al4CuIr.

Calculated values
Raw total energy, eV/atom: -5.693
Space-group type: Amm2 (38)
Magnetic moment, μB per formula unit: 0.0

Cell: 6.745 5.285 5.285 Å, 45.88 90.00 90.00°
Fractional coordinates of all 8 atoms:
Sc: 0.000 0.000 0.000
Sc: 0.500 0.148 0.148
Al: 0.202 0.714 0.714
Al: 0.304 0.435 0.435
Al: 0.696 0.435 0.435
Al: 0.798 0.714 0.714
Cu: 0.500 0.867 0.867
Ir: 0.000 0.282 0.282



7.
VASP calculation (PBE-GGA) on an optimized crystal structure of AlCu2IrSe4.

Calculated values
Raw total energy, eV/atom: -4.458
Space-group type: I-4 (82)
Magnetic moment, μB per formula unit: 0.3

Cell: 6.948 6.948 6.948 Å, 133.23 133.23 68.30°
Fractional coordinates of all 8 atoms:
Al: 0.000 0.000 0.000
Cu: 0.250 0.750 0.500
Cu: 0.500 0.500 0.000
Ir: 0.750 0.250 0.500
Se: 0.127 0.621 0.000
Se: 0.379 0.378 0.506
Se: 0.622 0.127 0.000
Se: 0.873 0.873 0.494



8.
VASP calculation (PBE-GGA) on an optimized crystal structure of SrAl5CuIr.

Calculated values
Raw total energy, eV/atom: -4.619
Space-group type: Imm2 (44)
Magnetic moment, μB per formula unit: 0.0

Cell: 6.524 6.524 6.524 Å, 143.64 112.03 79.60°
Fractional coordinates of all 8 atoms:
Sr: 0.000 0.000 0.000
Al: 0.152 0.343 0.810
Al: 0.467 0.655 0.812
Al: 0.490 0.990 0.500
Al: 0.533 0.343 0.190
Al: 0.844 0.655 0.188
Cu: 0.254 0.754 0.500
Ir: 0.730 0.230 0.500



9.
VASP calculation (PBE-GGA) on an optimized crystal structure of TaAlCuIr.

Calculated values
Raw total energy, eV/atom: -7.534
Space-group type: F-43m (216)
Magnetic moment, μB per formula unit: 0.0

Cell: 4.375 4.375 4.375 Å, 60.00 60.00 60.00°
Fractional coordinates of all 4 atoms:
Ta: 0.000 0.000 0.000
Al: 0.500 0.500 0.500
Cu: 0.750 0.750 0.750
Ir: 0.250 0.250 0.250



10.
VASP calculation (PBE-GGA) on an optimized crystal structure of TaAlCuIr.

Calculated values
Raw total energy, eV/atom: -7.223
Space-group type: F-43m (216)
Magnetic moment, μB per formula unit: 0.0

Cell: 4.338 4.338 4.338 Å, 60.00 60.00 60.00°
Fractional coordinates of all 4 atoms:
Ta: 0.000 0.000 0.000
Al: 0.250 0.250 0.250
Cu: 0.750 0.750 0.750
Ir: 0.500 0.500 0.500



11.
VASP calculation (PBE-GGA) on an optimized crystal structure of TaAlCuIr.

Calculated values
Raw total energy, eV/atom: -7.351
Space-group type: F-43m (216)
Magnetic moment, μB per formula unit: 0.0

Cell: 4.371 4.371 4.371 Å, 60.00 60.00 60.00°
Fractional coordinates of all 4 atoms:
Ta: 0.000 0.000 0.000
Al: 0.750 0.750 0.750
Cu: 0.500 0.500 0.500
Ir: 0.250 0.250 0.250



12.
VASP calculation (PBE-GGA) on an optimized crystal structure of Tb3Al3Cu2Ir.

Calculated values
Raw total energy, eV/atom: -5.188
Space-group type: P-62m (189)
Magnetic moment, μB per formula unit: 0.0

Cell: 7.031 7.031 4.087 Å, 90.00 90.00 120.00°
Fractional coordinates of all 9 atoms:
Tb: 0.000 0.418 0.000
Tb: 0.418 0.000 0.000
Tb: 0.582 0.582 0.000
Al: 0.000 0.767 0.500
Al: 0.233 0.233 0.500
Al: 0.767 0.000 0.500
Cu: 0.333 0.667 0.500
Cu: 0.667 0.333 0.500
Ir: 0.000 0.000 0.000



13.
VASP calculation (PBE-GGA) on an optimized crystal structure of AlCuTcIr.

Calculated values
Raw total energy, eV/atom: -6.782
Space-group type: F-43m (216)
Magnetic moment, μB per formula unit: 0.2

Cell: 4.288 4.288 4.288 Å, 60.00 60.00 60.00°
Fractional coordinates of all 4 atoms:
Al: 0.000 0.000 0.000
Cu: 0.250 0.250 0.250
Tc: 0.500 0.500 0.500
Ir: 0.750 0.750 0.750



14.
VASP calculation (PBE-GGA) on an optimized crystal structure of AlCu2Te4Ir.

Calculated values
Raw total energy, eV/atom: -4.136
Space-group type: I-4 (82)
Magnetic moment, μB per formula unit: 0.0

Cell: 7.395 7.395 7.395 Å, 132.29 132.29 69.77°
Fractional coordinates of all 8 atoms:
Al: 0.000 0.000 0.000
Cu: 0.250 0.750 0.500
Cu: 0.500 0.500 0.000
Te: 0.128 0.613 0.999
Te: 0.387 0.386 0.515
Te: 0.614 0.129 0.001
Te: 0.871 0.872 0.485
Ir: 0.750 0.250 0.500



15.
VASP calculation (PBE-GGA) on an optimized crystal structure of Tm3Al3Cu2Ir.

Calculated values
Raw total energy, eV/atom: -5.159
Space-group type: P-62m (189)
Magnetic moment, μB per formula unit: 0.0

Cell: 7.050 7.050 3.932 Å, 90.00 90.00 120.00°
Fractional coordinates of all 9 atoms:
Tm: 0.000 0.584 0.000
Tm: 0.416 0.416 0.000
Tm: 0.584 0.000 0.000
Al: 0.000 0.240 0.500
Al: 0.240 0.000 0.500
Al: 0.760 0.760 0.500
Cu: 0.333 0.667 0.500
Cu: 0.667 0.333 0.500
Ir: 0.000 0.000 0.000



16.
VASP calculation (PBE-GGA) on an optimized crystal structure of Tm3Al3CuIr2.

Calculated values
Raw total energy, eV/atom: -5.894
Space-group type: P-62m (189)
Magnetic moment, μB per formula unit: 0.0

Cell: 6.943 6.943 3.997 Å, 90.00 90.00 120.00°
Fractional coordinates of all 9 atoms:
Tm: 0.000 0.587 0.000
Tm: 0.413 0.413 0.000
Tm: 0.587 0.000 0.000
Al: 0.000 0.244 0.500
Al: 0.244 0.000 0.500
Al: 0.756 0.756 0.500
Cu: 0.000 0.000 0.000
Ir: 0.333 0.667 0.500
Ir: 0.667 0.333 0.500



17.
VASP calculation (PBE-GGA) on an optimized crystal structure of AlCuIrW.

Calculated values
Raw total energy, eV/atom: -7.430
Space-group type: F-43m (216)
Magnetic moment, μB per formula unit: 0.0

Cell: 4.328 4.328 4.328 Å, 60.00 60.00 60.00°
Fractional coordinates of all 4 atoms:
Al: 0.000 0.000 0.000
Cu: 0.250 0.250 0.250
Ir: 0.750 0.750 0.750
W: 0.500 0.500 0.500



18.
VASP calculation (PBE-GGA) on an optimized crystal structure of Y2Al4CuIr.

Calculated values
Raw total energy, eV/atom: -5.740
Space-group type: Amm2 (38)
Magnetic moment, μB per formula unit: 0.0

Cell: 6.935 5.553 5.553 Å, 44.08 90.00 90.00°
Fractional coordinates of all 8 atoms:
Y: 0.000 0.000 0.000
Y: 0.500 0.135 0.135
Al: 0.193 0.715 0.715
Al: 0.303 0.418 0.418
Al: 0.697 0.418 0.418
Al: 0.807 0.715 0.715
Cu: 0.000 0.282 0.282
Ir: 0.500 0.855 0.855



19.
VASP calculation (PBE-GGA) on an optimized crystal structure of AlZnCuIr.

Calculated values
Raw total energy, eV/atom: -4.560
Space-group type: F-43m (216)
Magnetic moment, μB per formula unit: 0.0

Cell: 4.258 4.258 4.258 Å, 60.00 60.00 60.00°
Fractional coordinates of all 4 atoms:
Al: 0.000 0.000 0.000
Zn: 0.750 0.750 0.750
Cu: 0.250 0.250 0.250
Ir: 0.500 0.500 0.500



20.
VASP calculation (PBE-GGA) on an optimized crystal structure of AlZnCuIr.

Calculated values
Raw total energy, eV/atom: -4.784
Space-group type: F-43m (216)
Magnetic moment, μB per formula unit: 0.0

Cell: 4.249 4.249 4.249 Å, 60.00 60.00 60.00°
Fractional coordinates of all 4 atoms:
Al: 0.000 0.000 0.000
Zn: 0.500 0.500 0.500
Cu: 0.250 0.250 0.250
Ir: 0.750 0.750 0.750